Here is a relaxed RbTiNb2B crystal from Alexandria. Energies are from GGA-PBE.

Its total energy is -30.48 eV for the cell shown. The density of states at the Fermi level is 8.62 states/eV/f.u. The formation energy comes out at 1.040 eV per atom.

The space group is P4/mmm (No. 123) and the conventional cell measures 4.5315, 4.5315 and 4.8273 Å, with angles of 90.00, 90.00 and 90.00 degrees. The asymmetric unit holds Rb at (0.0000, 0.0000, 0.0000), Ti at (0.5000, 0.5000, 0.0000), Nb at (0.0000, 0.5000, 0.5000) and B at (0.5000, 0.5000, 0.5000).

Here is a relaxed Ca5H12Rh2 crystal from Alexandria. Energies are from GGA-PBE.

Its total energy is -146.93 eV for the cell shown. The density of states at the Fermi level is 5.17 states/eV/f.u.

The space group is C2/m (No. 12) and the conventional cell measures 11.7044, 5.7616 and 7.2758 Å, with angles of 90.00, 107.78 and 90.00 degrees. The asymmetric unit holds Ca at (0.0000, 0.0000, 0.0000), Ca at (0.1738, 0.5000, 0.8477), Ca at (0.1951, 0.5000, 0.3411), H at (0.0014, 0.0000, 0.6545), H at (0.0075, 0.5000, 0.3520), H at (0.1542, 0.2612, 0.5747), H at (0.1619, 0.2465, 0.0846) and Rh at (0.0000, 0.2479, 0.5000).

Here is a relaxed Cs2RbAu2 crystal from Alexandria. Energies are from GGA-PBE.

As for the distance to the lowest polymorph of the same formula: 58 meV per atom. Its total energy is -20.46 eV for the cell shown. The density of states at the Fermi level is 1.84 states/eV/f.u. The formation energy comes out at -0.200 eV per atom.

The space group is P4/mbm (No. 127) and the conventional cell measures 10.3419, 10.3419 and 4.2594 Å, with angles of 90.00, 90.00 and 90.00 degrees. The asymmetric unit holds Cs at (0.1325, 0.3675, 0.0000), Rb at (0.0000, 0.0000, 0.0000) and Au at (0.1669, 0.6669, 0.5000).

Here is a relaxed RbLa2P2N6 crystal from Alexandria. Energies are from GGA-PBE.

For the formation energy without anion corrections, the calculation gives -0.705 eV per atom. Its total energy is -158.69 eV for the cell shown. The density of states at the Fermi level is 5.10 states/eV/f.u.

The space group is C2/m (No. 12) and the conventional cell measures 11.3579, 6.7143 and 6.7416 Å, with angles of 90.00, 118.80 and 90.00 degrees. The asymmetric unit holds Rb at (0.0000, 0.0000, 0.0000), La at (0.1788, 0.5000, 0.3018), P at (0.1558, 0.5000, 0.7450), N at (0.0701, 0.5000, 0.8715) and N at (0.2018, 0.3039, 0.6700).

Here is a relaxed In2GaBr2 crystal from Alexandria. Energies are from GGA-PBE.

For the formation energy without anion corrections, the calculation gives -0.451 eV per atom. As for the distance to the lowest polymorph of the same formula: 0 meV per atom. Its total energy is -28.21 eV for the cell shown. The density of states at the Fermi level is 1.11 states/eV/f.u.

The space group is P1 (No. 1) and the conventional cell measures 4.1331, 8.1077 and 9.9542 Å, with angles of 102.04, 101.97 and 90.20 degrees. The asymmetric unit holds In at (0.0000, 0.0000, 0.0000), In at (0.0009, 0.4983, 0.9944), In at (0.2693, 0.1473, 0.5178), In at (0.7490, 0.8436, 0.4762), Ga at (0.2707, 0.6018, 0.5202), Ga at (0.7472, 0.3890, 0.4739), Br at (0.4031, 0.6897, 0.7890), Br at (0.4106, 0.1992, 0.8124), Br at (0.5960, 0.7942, 0.1815) and Br at (0.6097, 0.3039, 0.2049).

Here is a relaxed ZnAg2Cl4 crystal from Alexandria. Energies are from GGA-PBE.

For the formation energy without anion corrections, the calculation gives -0.683 eV per atom. As for the distance to the lowest polymorph of the same formula: 31 meV per atom. Its total energy is -38.29 eV for the cell shown. The density of states at the Fermi level is 0.00 states/eV/f.u.

The space group is C2/m (No. 12) and the conventional cell measures 12.7674, 3.8252 and 7.1160 Å, with angles of 90.00, 107.87 and 90.00 degrees. The asymmetric unit holds Zn at (0.0000, 0.0000, 0.0000), Ag at (0.1249, 0.5000, 0.5764), Cl at (0.1079, 0.5000, 0.9139) and Cl at (0.1324, 0.0000, 0.3332).

Here is a relaxed TmTlReO6 crystal from Alexandria. Energies are from GGA-PBE.

For the formation energy without anion corrections, the calculation gives -1.868 eV per atom. Its total energy is -65.84 eV for the cell shown. The density of states at the Fermi level is 3.72 states/eV/f.u.

The space group is P312 (No. 149) and the conventional cell measures 5.5412, 5.5412 and 4.9699 Å, with angles of 90.00, 90.00 and 120.00 degrees. The asymmetric unit holds Tm at (0.0000, 0.0000, 0.0000), Tl at (0.6667, 0.3333, 0.5000), Re at (0.3333, 0.6667, 0.0000) and O at (0.0595, 0.3725, 0.2175).

no.,size of the total moment (μB/f.u.)
1,0.00
2,1.42
3,0.00
4,1.02
5,0.00
6,0.00
7,0.00